## In4Sb2N (PBE)

Data for an optimized crystal structure of In4Sb2N.

Unit cell a=4.683 b=4.683 c=15.947 alpha=90.00 beta=90.00 gamma=90.00
Space group I4/mmm (No. 139)
Inequivalent atoms, fractional coordinates:
In 0.000 0.000 0.162
In 0.000 0.500 0.000
Sb 0.000 0.000 0.362
N 0.000 0.000 0.000

energy relative to the elements, uncorrected	0.223	eV/atom
size of the total moment	0.00	μB/f.u.

=====

## InSb2N (PBE)

Data for an optimized crystal structure of InSb2N.

Unit cell a=16.380 b=5.752 c=5.631 alpha=90.00 beta=90.13 gamma=90.00
Space group Cm (No. 8)
Inequivalent atoms, fractional coordinates:
In 0.000 0.000 0.000
In 0.045 0.500 0.577
Sb 0.085 0.000 0.489
Sb 0.355 0.000 0.618
Sb 0.405 0.500 0.496
Sb 0.446 0.000 0.060
N 0.218 0.500 0.944
N 0.220 0.500 0.142

energy relative to the lowest polymorph listed for this composition	5	meV/atom
energy relative to the elements, uncorrected	0.138	eV/atom
size of the total moment	0.00	μB/f.u.

=====

## InSb2N (PBE)

Data for an optimized crystal structure of InSb2N.

Unit cell a=6.203 b=6.591 c=6.605 alpha=77.47 beta=87.99 gamma=71.54
Space group P1 (No. 1)
Inequivalent atoms, fractional coordinates:
In 0.000 0.000 0.000
In 0.360 0.601 0.278
Sb 0.282 0.872 0.596
Sb 0.450 0.172 0.943
Sb 0.561 0.122 0.377
Sb 0.633 0.719 0.923
N 0.887 0.410 0.571
N 0.939 0.517 0.436

energy relative to the lowest polymorph listed for this composition	21	meV/atom
energy relative to the elements, uncorrected	0.154	eV/atom
size of the total moment	0.00	μB/f.u.

=====

## InSb2N (PBE)

Data for an optimized crystal structure of InSb2N.

Unit cell a=3.321 b=5.119 c=6.463 alpha=66.92 beta=83.64 gamma=72.74
Space group P1 (No. 1)
Inequivalent atoms, fractional coordinates:
In 0.000 0.000 0.000
Sb 0.743 0.617 0.691
Sb 0.751 0.309 0.310
N 0.634 0.706 0.001

energy relative to the lowest polymorph listed for this composition	122	meV/atom
energy relative to the elements, uncorrected	0.256	eV/atom
size of the total moment	0.00	μB/f.u.

=====

## InSbSe2N (PBE)

Data for an optimized crystal structure of InSbSe2N.

Unit cell a=5.422 b=5.422 c=3.991 alpha=90.00 beta=90.00 gamma=90.00
Space group P4/mmm (No. 123)
Inequivalent atoms, fractional coordinates:
In 0.000 0.000 0.000
Sb 0.500 0.500 0.500
Se 0.000 0.500 0.500
N 0.500 0.500 0.000

energy relative to the lowest polymorph listed for this composition	0	meV/atom
energy relative to the elements, uncorrected	0.539	eV/atom
size of the total moment	0.23	μB/f.u.

=====

## InSbSe2N (PBE)

Data for an optimized crystal structure of InSbSe2N.

Unit cell a=5.414 b=5.414 c=4.098 alpha=90.00 beta=90.00 gamma=90.00
Space group P4/mmm (No. 123)
Inequivalent atoms, fractional coordinates:
In 0.000 0.000 0.000
Sb 0.500 0.500 0.500
Se 0.000 0.500 0.000
N 0.000 0.000 0.500

energy relative to the lowest polymorph listed for this composition	198	meV/atom
energy relative to the elements, uncorrected	0.737	eV/atom
size of the total moment	1.58	μB/f.u.

=====

## TaInSbN2 (PBE)

Data for an optimized crystal structure of TaInSbN2.

Unit cell a=4.111 b=4.111 c=5.774 alpha=90.00 beta=90.00 gamma=90.00
Space group P4/mmm (No. 123)
Inequivalent atoms, fractional coordinates:
Ta 0.000 0.000 0.000
In 0.000 0.000 0.500
Sb 0.500 0.500 0.000
N 0.000 0.500 0.500

energy relative to the elements, uncorrected	1.927	eV/atom
size of the total moment	0.00	μB/f.u.

=====

## InSbTe2N (PBE)

Data for an optimized crystal structure of InSbTe2N.

Unit cell a=5.767 b=5.767 c=5.687 alpha=90.00 beta=90.00 gamma=90.00
Space group P4/mmm (No. 123)
Inequivalent atoms, fractional coordinates:
In 0.000 0.000 0.000
Sb 0.000 0.000 0.500
Te 0.000 0.500 0.000
N 0.500 0.500 0.500

energy relative to the lowest polymorph listed for this composition	963	meV/atom
energy relative to the elements, uncorrected	1.535	eV/atom
size of the total moment	2.43	μB/f.u.

=====

## InSbTe2N (PBE)

Data for an optimized crystal structure of InSbTe2N.

Unit cell a=5.819 b=5.819 c=4.054 alpha=90.00 beta=90.00 gamma=90.00
Space group P4/mmm (No. 123)
Inequivalent atoms, fractional coordinates:
In 0.000 0.000 0.000
Sb 0.500 0.500 0.500
Te 0.000 0.500 0.000
N 0.000 0.000 0.500

energy relative to the lowest polymorph listed for this composition	293	meV/atom
energy relative to the elements, uncorrected	0.866	eV/atom
size of the total moment	0.00	μB/f.u.

=====

## InSbTe2N (PBE)

Data for an optimized crystal structure of InSbTe2N.

Unit cell a=4.810 b=4.810 c=4.997 alpha=90.00 beta=90.00 gamma=90.00
Space group P4/mmm (No. 123)
Inequivalent atoms, fractional coordinates:
In 0.000 0.000 0.000
Sb 0.500 0.500 0.000
Te 0.000 0.500 0.500
N 0.500 0.500 0.500

energy relative to the lowest polymorph listed for this composition	0	meV/atom
energy relative to the elements, uncorrected	0.573	eV/atom
size of the total moment	0.00	μB/f.u.

=====

## InSbTe2N (PBE)

Data for an optimized crystal structure of InSbTe2N.

Unit cell a=6.000 b=6.000 c=3.934 alpha=90.00 beta=90.00 gamma=90.00
Space group P4/mmm (No. 123)
Inequivalent atoms, fractional coordinates:
In 0.000 0.000 0.000
Sb 0.500 0.500 0.500
Te 0.000 0.500 0.500
N 0.500 0.500 0.000

energy relative to the lowest polymorph listed for this composition	58	meV/atom
energy relative to the elements, uncorrected	0.630	eV/atom
size of the total moment	0.00	μB/f.u.

=====

## TiInSb2N (PBE)

Data for an optimized crystal structure of TiInSb2N.

Unit cell a=5.698 b=5.698 c=3.892 alpha=90.00 beta=90.00 gamma=90.00
Space group P4/mmm (No. 123)
Inequivalent atoms, fractional coordinates:
Ti 0.000 0.000 0.000
In 0.500 0.500 0.500
Sb 0.000 0.500 0.500
N 0.500 0.500 0.000

energy relative to the elements, uncorrected	1.210	eV/atom
size of the total moment	0.00	μB/f.u.

=====

## Sc4InN (PBE)

Data for an optimized crystal structure of Sc4InN.

Unit cell a=14.233 b=5.513 c=6.300 alpha=90.00 beta=105.21 gamma=90.00
Space group C2/c (No. 15)
Inequivalent atoms, fractional coordinates:
Sc 0.107 0.073 0.441
Sc 0.199 0.443 0.175
In 0.000 0.421 0.750
N 0.250 0.250 0.500

energy relative to the elements, uncorrected	-0.742	eV/atom
size of the total moment	0.00	μB/f.u.

=====

## Sc4In2N (PBE)

Data for an optimized crystal structure of Sc4In2N.

Unit cell a=4.903 b=21.377 c=3.163 alpha=90.00 beta=90.00 gamma=90.00
Space group Cmmm (No. 65)
Inequivalent atoms, fractional coordinates:
Sc 0.000 0.067 0.000
Sc 0.000 0.202 0.500
In 0.000 0.339 0.000
N 0.000 0.000 0.500

energy relative to the lowest polymorph listed for this composition	274	meV/atom
energy relative to the elements, uncorrected	-0.512	eV/atom
size of the total moment	0.63	μB/f.u.

=====

## ScInN3 (PBE)

Data for an optimized crystal structure of ScInN3.

Unit cell a=4.133 b=4.133 c=4.133 alpha=90.00 beta=90.00 gamma=90.00
Space group Pm-3m (No. 221)
Inequivalent atoms, fractional coordinates:
Sc 0.000 0.000 0.000
In 0.500 0.500 0.500
N 0.000 0.000 0.500

energy relative to the elements, uncorrected	0.905	eV/atom
size of the total moment	2.46	μB/f.u.

=====

## ScInN3 (PBE)

Data for an optimized crystal structure of ScInN3.

Unit cell a=4.079 b=4.079 c=4.079 alpha=90.00 beta=90.00 gamma=90.00
Space group Pm-3m (No. 221)
Inequivalent atoms, fractional coordinates:
Sc 0.000 0.000 0.000
In 0.500 0.500 0.500
N 0.000 0.500 0.500

energy relative to the elements, uncorrected	1.134	eV/atom
size of the total moment	0.00	μB/f.u.

=====

## ScInN2 (PBE)

Data for an optimized crystal structure of ScInN2.

Unit cell a=3.4533 b=3.4533 c=18.2240 alpha=90.00 beta=90.00 gamma=120.00
Space group R-3m (No. 166, hexagonal axes)
Inequivalent atoms, fractional coordinates:
Sc 0.0000 0.0000 0.0000
In 0.0000 0.0000 0.5000
N 0.0000 0.0000 0.3917

energy relative to the elements, uncorrected	-0.395	eV/atom
size of the total moment	0.00	μB/f.u.

=====

## Sc3InN (PBE)

Data for an optimized crystal structure of Sc3InN.

Unit cell a=5.278 b=5.278 c=5.278 alpha=90.00 beta=90.00 gamma=90.00
Space group Pm-3m (No. 221)
Inequivalent atoms, fractional coordinates:
Sc 0.000 0.000 0.500
In 0.000 0.000 0.000
N 0.500 0.500 0.500

energy relative to the elements, uncorrected	1.386	eV/atom
size of the total moment	0.76	μB/f.u.

=====

## Sc3InN (PBE)

Data for an optimized crystal structure of Sc3InN.

Unit cell a=4.475 b=4.475 c=4.475 alpha=90.00 beta=90.00 gamma=90.00
Space group Pm-3m (No. 221)
Inequivalent atoms, fractional coordinates:
Sc 0.000 0.000 0.500
In 0.500 0.500 0.500
N 0.000 0.000 0.000

energy relative to the elements, uncorrected	-1.123	eV/atom
size of the total moment	0.00	μB/f.u.

=====

## ScInN2 (PBE)

Data for an optimized crystal structure of ScInN2.

Unit cell a=4.967 b=4.967 c=9.957 alpha=90.00 beta=90.00 gamma=90.00
Space group I-42d (No. 122)
Inequivalent atoms, fractional coordinates:
Sc 0.000 0.000 0.000
In 0.000 0.000 0.500
N 0.235 0.250 0.125

energy relative to the elements, uncorrected	-0.751	eV/atom
size of the total moment	0.00	μB/f.u.

=====

## Sc4In2N (PBE)

Data for an optimized crystal structure of Sc4In2N.

Unit cell a=4.418 b=4.418 c=15.010 alpha=90.00 beta=90.00 gamma=90.00
Space group I4/mmm (No. 139)
Inequivalent atoms, fractional coordinates:
Sc 0.000 0.000 0.156
Sc 0.000 0.500 0.000
In 0.000 0.000 0.359
N 0.000 0.000 0.000

energy relative to the lowest polymorph listed for this composition	0	meV/atom
energy relative to the elements, uncorrected	-0.787	eV/atom
size of the total moment	0.00	μB/f.u.

=====

## Sc2In2N (PBE)

Data for an optimized crystal structure of Sc2In2N.

Unit cell a=5.710 b=3.318 c=10.419 alpha=90.00 beta=101.66 gamma=90.00
Space group C2/m (No. 12)
Inequivalent atoms, fractional coordinates:
Sc 0.210 0.000 0.116
In 0.036 0.000 0.640
N 0.000 0.500 0.000

energy relative to the elements, uncorrected	-0.909	eV/atom
size of the total moment	0.00	μB/f.u.

=====

## ScInSeN2 (PBE)

Data for an optimized crystal structure of ScInSeN2.

Unit cell a=4.406 b=4.406 c=5.901 alpha=90.00 beta=90.00 gamma=90.00
Space group P4/mmm (No. 123)
Inequivalent atoms, fractional coordinates:
Sc 0.000 0.000 0.000
In 0.500 0.500 0.500
Se 0.000 0.000 0.500
N 0.000 0.500 0.000

energy relative to the lowest polymorph listed for this composition	0	meV/atom
energy relative to the elements, uncorrected	0.458	eV/atom
size of the total moment	3.09	μB/f.u.

=====

## ScInSeN2 (PBE)

Data for an optimized crystal structure of ScInSeN2.

Unit cell a=4.202 b=4.202 c=6.005 alpha=90.00 beta=90.00 gamma=90.00
Space group P4/mmm (No. 123)
Inequivalent atoms, fractional coordinates:
Sc 0.000 0.000 0.000
In 0.500 0.500 0.500
Se 0.500 0.500 0.000
N 0.000 0.500 0.500

energy relative to the lowest polymorph listed for this composition	347	meV/atom
energy relative to the elements, uncorrected	0.806	eV/atom
size of the total moment	1.57	μB/f.u.

=====

## SrScInN2 (PBE)

Data for an optimized crystal structure of SrScInN2.

Unit cell a=4.345 b=4.345 c=6.026 alpha=90.00 beta=90.00 gamma=90.00
Space group P4/mmm (No. 123)
Inequivalent atoms, fractional coordinates:
Sr 0.000 0.000 0.000
Sc 0.000 0.000 0.500
In 0.500 0.500 0.000
N 0.000 0.500 0.500

energy relative to the elements, uncorrected	0.787	eV/atom
size of the total moment	0.00	μB/f.u.

=====

## SrSc2InN (PBE)

Data for an optimized crystal structure of SrSc2InN.

Unit cell a=4.582 b=4.582 c=5.094 alpha=90.00 beta=90.00 gamma=90.00
Space group P4/mmm (No. 123)
Inequivalent atoms, fractional coordinates:
Sr 0.000 0.000 0.000
Sc 0.000 0.500 0.500
In 0.500 0.500 0.000
N 0.000 0.000 0.500

energy relative to the elements, uncorrected	-0.755	eV/atom
size of the total moment	0.00	μB/f.u.

=====

## Tm2ScInN (PBE)

Data for an optimized crystal structure of Tm2ScInN.

Unit cell a=4.723 b=4.723 c=4.516 alpha=90.00 beta=90.00 gamma=90.00
Space group P4/mmm (No. 123)
Inequivalent atoms, fractional coordinates:
Tm 0.000 0.500 0.000
Sc 0.000 0.000 0.500
In 0.500 0.500 0.500
N 0.000 0.000 0.000

energy relative to the elements, uncorrected	-1.046	eV/atom
size of the total moment	0.00	μB/f.u.